P) Below is an optimized crystal structure of CaZn2I2, with properties calculated at the PBE level.

## Properties
volume: 42.302 Å³/atom
magnetization: 0.00 μB/cell

Lattice parameters (Å, degrees): 8.180 8.180 6.321 90.00 90.00 90.00
Element x y z (fractional)
I: 0.328 0.828 0.000
I: 0.828 0.672 0.000
I: 0.672 0.172 0.000
I: 0.172 0.328 0.000
Zn: 0.121 0.621 0.500
Zn: 0.621 0.879 0.500
Zn: 0.879 0.379 0.500
Zn: 0.379 0.121 0.500
Ca: 0.000 0.000 0.000
Ca: 0.500 0.500 0.000

Q) Below is an optimized crystal structure of CaZn2I2, with properties calculated at the PBE level.

## Properties
volume: 31.328 Å³/atom
magnetization: 0.00 μB/cell

Lattice parameters (Å, degrees): 3.874 3.874 10.790 79.66 79.66 90.00
Element x y z (fractional)
I: 0.410 0.410 0.180
I: 0.590 0.590 0.820
Zn: 0.750 0.250 0.500
Zn: 0.250 0.750 0.500
Ca: 0.000 0.000 0.000

Calculated relative energies: P) 19.3; Q) 0.0, given in kJ/mol of atoms

P) Below is an optimized crystal structure of CaZn3I, with properties calculated at the PBE level.

## Properties
volume: 42.188 Å³/atom
magnetization: 0.00 μB/cell

Lattice parameters (Å, degrees): 5.953 5.953 5.953 90.00 90.00 90.00
Element x y z (fractional)
I: 0.500 0.500 0.500
Zn: 0.000 0.500 0.000
Zn: 0.000 0.000 0.500
Zn: 0.500 0.000 0.000
Ca: 0.000 0.000 0.000

Q) Below is an optimized crystal structure of CaZn3I, with properties calculated at the PBE level.

## Properties
volume: 34.106 Å³/atom
magnetization: 0.00 μB/cell

Lattice parameters (Å, degrees): 5.545 5.545 5.545 90.00 90.00 90.00
Element x y z (fractional)
I: 0.000 0.000 0.000
Zn: 0.000 0.500 0.000
Zn: 0.000 0.000 0.500
Zn: 0.500 0.000 0.000
Ca: 0.500 0.500 0.500

Calculated relative energies: P) 0.0; Q) 19.4, given in kJ/mol of atoms

P) Below is an optimized crystal structure of CaZn2I, with properties calculated at the PBE level.

## Properties
volume: 28.945 Å³/atom
magnetization: 0.00 μB/cell

Lattice parameters (Å, degrees): 8.680 8.680 6.864 50.78 50.78 90.00
Element x y z (fractional)
I: 0.000 0.000 0.000
I: 0.750 0.250 0.500
Zn: 0.620 0.125 0.250
Zn: 0.130 0.625 0.250
Zn: 0.375 0.380 0.750
Zn: 0.875 0.870 0.750
Ca: 0.500 0.500 0.000
Ca: 0.250 0.750 0.500

Q) Below is an optimized crystal structure of CaZn2I, with properties calculated at the PBE level.

## Properties
volume: 29.060 Å³/atom
magnetization: 0.00 μB/cell

Lattice parameters (Å, degrees): 5.478 5.478 5.478 60.00 60.00 60.00
Element x y z (fractional)
I: 0.500 0.500 0.500
Zn: 0.250 0.250 0.250
Zn: 0.750 0.750 0.750
Ca: 0.000 0.000 0.000

Calculated relative energies: P) 0.0; Q) 22.3, given in kJ/mol of atoms

P) Below is an optimized crystal structure of CaZrI2, with properties calculated at the PBE level.

## Properties
volume: 36.132 Å³/atom
magnetization: 6.82 μB/cell

Lattice parameters (Å, degrees): 5.523 5.523 10.249 74.37 74.37 90.00
Site moments in Bohr magnetons follow the coordinates.
Element x y z (fractional)
I: 0.645 0.125 0.250  0.02
I: 0.105 0.625 0.250  0.01
I: 0.375 0.355 0.750  0.01
I: 0.875 0.895 0.750  0.01
Ca: 0.500 0.500 0.000  0.15
Ca: 0.250 0.750 0.500  0.16
Zr: 0.000 0.000 0.000  1.47
Zr: 0.750 0.250 0.500  1.46

Q) Below is an optimized crystal structure of CaZrI2, with properties calculated at the PBE level.

## Properties
volume: 25.939 Å³/atom
magnetization: 0.00 μB/cell

Lattice parameters (Å, degrees): 5.274 5.274 5.274 60.00 60.00 60.00
Element x y z (fractional)
I: 0.250 0.250 0.250
I: 0.750 0.750 0.750
Ca: 0.000 0.000 0.000
Zr: 0.500 0.500 0.500

Calculated relative energies: P) 17.2; Q) 0.0, given in kJ/mol of atoms